Entry 1:
PBE NaScS2, relaxed; space-group type = Cm, No. 8; D(E_F) = 0.00 states/eV/cell; electronic total energy = -5.71 eV per atom
1.0
13.4336 -0.0002 -0.0005
0.0006 3.7595 0.0002
0.0036 -1.8801 3.2553
S Sc Na
4 2 2
Direct
0.7320 0.9773 0.6865 S
0.9468 0.3101 0.3522 S
0.4519 0.6465 0.0237 S
0.2381 0.3139 0.3582 S
0.8388 0.6435 0.0190 Sc
0.3453 0.9803 0.6911 Sc
0.5925 0.3118 0.3551 Na
0.0961 0.6459 0.0233 Na

***

Entry 2:
PBE NaScS2, relaxed; space-group type = C2, No. 5; D(E_F) = 0.00 states/eV/cell; electronic total energy = -5.69 eV per atom
1.0
14.2759 0.0150 0.0093
-0.9850 3.6162 0.0002
-0.0019 -1.9425 3.2052
S Sc Na
4 2 2
Direct
0.2358 0.9806 0.7825 S
0.9485 0.5959 0.5938 S
0.7369 0.9813 0.7859 S
0.4496 0.5985 0.5918 S
0.8427 0.7886 0.1900 Sc
0.3427 0.7896 0.1870 Sc
0.0895 0.4507 0.0204 Na
0.5959 0.1273 0.3575 Na

***

Entry 3:
PBE NaSc3S, relaxed; E above lowest polymorph = 0 meV/atom; space-group type = Pm-3m, No. 221; D(E_F) = 8.09 states/eV/cell
1.0
4.9737 0.0000 0.0000
0.0000 4.9737 0.0000
0.0000 0.0000 4.9737
Na Sc S
1 3 1
Direct
0.5000 0.5000 0.5000 Na
0.0000 0.5000 0.0000 Sc
0.5000 0.0000 0.0000 Sc
0.0000 0.0000 0.5000 Sc
0.0000 0.0000 0.0000 S

***

- Among the records above, which one has the highest D(E_F)?
  NaSc3S

***

- D(E_F) of number 1 (NaScS2)?
  0.00 states/eV/cell

***

- What is the D(E_F) in the third record?
  8.09 states/eV/cell